Mn2As2O | PBE with a Hubbard U | optimized geometry

a = 6.605 Å, b = 6.605 Å, c = 3.954 Å
α = 90.00°, β = 90.00°, γ = 90.00°
Fractional positions:
Mn 0.149 0.351 0.000
Mn 0.351 0.851 0.000
Mn 0.649 0.149 0.000
Mn 0.851 0.649 0.000
As 0.176 0.676 0.500
As 0.324 0.176 0.500
As 0.676 0.824 0.500
As 0.824 0.324 0.500
O 0.000 0.000 0.500
O 0.500 0.500 0.500

Calculated total energy, eV per atom: -5.6620
Energy above the most stable polymorph in this dataset, meV/atom: 119
SG: P4/mbm (127)
Volume, Å³ per cell: 172.53